# 1
Computed, not measured: a geometry-optimized Y2HoTcN4 structure at the GGA-PBE level of DFT.

The structure in POSCAR format:
```
Y2HoTcN4
1.0
-0.021 -0.892 -3.281
3.422 -4.073 2.848
-9.398 -6.600 1.854
Y Ho Tc N
4 2 2 8
Direct
0.368 0.736 0.540
0.632 0.264 0.040
0.632 0.264 0.460
0.368 0.736 0.960
0.135 0.270 0.750
0.865 0.730 0.250
0.868 0.737 0.750
0.132 0.263 0.250
0.264 0.528 0.132
0.736 0.472 0.632
0.736 0.472 0.868
0.264 0.528 0.368
0.000 0.000 0.500
0.000 0.000 0.000
0.452 0.905 0.750
0.548 0.095 0.250
```

uncorrected formation energy	-1.069	eV/atom
space group	Cmcm (63)


# 2
Computed, not measured: a geometry-optimized Cu3NiS4 structure at the GGA-PBE level of DFT.

The structure in POSCAR format:
```
Cu3NiS4
1.0
5.189 0.000 0.000
0.000 5.189 0.000
-2.594 -2.594 5.144
Cu Ni S
3 1 4
Direct
0.500 0.500 0.000
0.750 0.250 0.500
0.250 0.750 0.500
0.000 0.000 0.000
0.364 0.364 0.243
0.880 0.880 0.243
0.120 0.636 0.757
0.636 0.120 0.757
```

uncorrected formation energy	-0.228	eV/atom
space group	I-42m (121)


# 3
Computed, not measured: a geometry-optimized SrCr2Os structure at the GGA-PBE level of DFT.

The structure in POSCAR format:
```
SrCr2Os
1.0
9.699 -0.106 -0.062
9.266 2.866 -0.062
9.266 1.349 2.530
Cr Os Sr
2 1 1
Direct
0.984 0.984 0.984
0.516 0.516 0.516
0.250 0.250 0.250
0.750 0.750 0.750
```

ΔE_f	1.086	eV per atom
energy above the most stable polymorph in this dataset	495	meV per atom
space group	R-3m (166)


# 4
Computed, not measured: a geometry-optimized BeAsP2 structure at the GGA-PBE level of DFT.

The structure in POSCAR format:
```
BeAsP2
1.0
2.837 -0.041 0.000
-1.063 2.630 0.000
0.000 0.000 8.595
P As Be
2 1 1
Direct
0.000 0.000 0.979
0.500 0.500 0.179
0.000 0.000 0.569
0.500 0.500 0.773
```

ΔE_f	0.533	eV per atom
energy above the most stable polymorph in this dataset	518	meV per atom
space group	Cmm2 (35)


Total moment readings, ordered: 0.0, 0.0, 5.2, 0.0 μB/cell